No. 1
VASP calculation (PBE) on CoSiTcHg after structural relaxation.

Output
Total magnetic moment ... 0.8 μB/cell
Space group ... F-43m
E_tot ... -21.7 eV per formula unit

```
4
Lattice="0.0000 3.0688 3.0688 3.0688 0.0000 3.0688 3.0688 3.0688 0.0000" Properties=species:S:1:pos:R:3 pbc="T T T"
Co 4.6032 4.6032 4.6032
Hg 3.0688 3.0688 3.0688
Tc 1.5344 1.5344 1.5344
Si 0.0000 0.0000 0.0000
```

=====

No. 2
VASP calculation (PBE) on LuCdFePb after structural relaxation.

Output
Total magnetic moment ... 2.0 μB/cell
Space group ... F-43m
E_tot ... -16.6 eV per formula unit

```
4
Lattice="-1.3269 -4.2574 2.1620 1.5283 -1.0238 4.6018 -3.2389 0.0298 3.7509" Properties=species:S:1:pos:R:3 pbc="T T T"
Pb 0.0000 0.0000 0.0000
Lu -1.5188 -2.6257 5.2574
Cd -0.7594 -1.3129 2.6287
Fe -2.2781 -3.9386 7.8860
```

=====

No. 3
VASP calculation (PBE) on CdPtSO after structural relaxation.

Output
Total magnetic moment ... 0.0 μB/cell
Space group ... Pca2_1
E_tot ... -17.8 eV per formula unit

```
16
Lattice="-2.0781 -3.4168 -5.3252 7.8000 -0.1824 -2.9268 0.8444 -4.4536 2.5281" Properties=species:S:1:pos:R:3 pbc="T T T"
S 4.8348 -1.0459 -1.5708
Cd 6.0203 -4.3716 -4.5048
S 1.6083 -6.3573 -4.5220
O 0.7415 -0.4559 -0.5877
Pt 1.1822 -4.7547 -3.0086
Cd 0.9492 -5.8074 -0.0123
Pt 5.7766 -3.1294 -1.6800
O 5.7980 -2.3069 -5.5376
Pt 0.4364 -3.0599 -5.1018
Pt 5.0307 -1.4347 -3.7732
O 5.4760 -5.7573 -6.1806
O 0.4195 -3.9063 -1.2307
Cd 5.8007 -7.6536 -4.8852
Cd 1.1687 -2.5255 0.3682
S 2.0479 -2.7135 -3.5775
S 4.3952 -4.6898 -2.5152
```